Material: LiLaNiSn
Method: DFT, PBE
State: relaxed

The structure in POSCAR format:
```
LiLaNiSn
1.0
-0.327 -3.966 -2.708
0.029 -4.342 2.078
-4.016 -2.651 0.091
Sn Li La Ni
1 1 1 1
Cartesian
-1.079 -2.740 -0.135 Sn
0.000 0.000 0.000 Li
-3.236 -8.219 -0.404 La
-2.158 -5.479 -0.270 Ni
```

- energy of formation (eV per atom) = -0.53
- space-group type = F-43m, No. 216
- size of the total moment (μB/cell) = 0.0



Material: CeBi2SbPd2
Method: DFT, PBE
State: relaxed

The structure in POSCAR format:
```
CeBi2SbPd2
1.0
5.531 0.000 0.000
0.000 5.531 0.000
-2.766 -2.766 5.592
Sb Bi Pd Ce
1 2 2 1
Cartesian
0.000 0.000 0.000 Sb
2.766 0.000 2.796 Bi
0.000 2.766 2.796 Bi
2.766 2.766 2.792 Pd
0.000 0.000 2.801 Pd
2.766 2.766 0.000 Ce
```

- DOS(E_F) (states/eV/f.u.) = 8.80
- space-group type = I4/mmm, No. 139
- size of the total moment (μB/cell) = 0.9
- formation energy without anion corrections (eV/atom) = -0.18



Material: LiCrCl6
Method: DFT, PBE
State: relaxed

The structure in POSCAR format:
```
LiCrCl6
1.0
-0.140 -6.272 -0.387
5.014 -2.510 2.207
0.082 -1.523 6.309
Cl Li Cr
6 1 1
Cartesian
4.315 -4.822 6.329 Cl
3.757 -6.164 1.433 Cl
2.085 -6.855 5.185 Cl
1.118 -2.618 0.386 Cl
0.641 -5.483 1.800 Cl
2.871 -3.449 2.943 Cl
0.000 0.000 0.000 Li
2.437 -4.391 0.910 Cr
```

- DOS(E_F) (states/eV/f.u.) = 7.62
- space-group type = C2/m, No. 12
- size of the total moment (μB/cell) = 0.9
- formation energy without anion corrections (eV/atom) = -0.89



Material: KAs2Ru
Method: DFT, PBE
State: relaxed

The structure in POSCAR format:
```
KAs2Ru
1.0
5.083 -0.015 -0.010
-1.662 4.804 -0.010
0.031 0.044 3.128
Ru As K
1 2 1
Cartesian
-0.816 2.424 1.559 Ru
1.710 2.395 -0.010 As
0.000 0.000 0.000 As
2.557 0.015 1.559 K
```

- energy of formation (eV per atom) = 0.60
- DOS(E_F) (states/eV/f.u.) = 3.37
- energy above the most stable polymorph in this dataset (meV per atom) = 803.0
- space-group type = C2/m, No. 12
- size of the total moment (μB/cell) = 0.0



Material: NbMoN
Method: DFT, PBE
State: relaxed

The structure in POSCAR format:
```
NbMoN
1.0
-1.288 5.132 1.490
-2.501 -2.196 4.375
6.390 -1.135 -0.195
Nb N Mo
4 4 4
Cartesian
-0.145 2.100 2.523 Nb
3.693 -1.033 1.680 Nb
3.049 1.533 2.426 Nb
-1.396 1.002 4.710 Nb
-2.267 -0.784 3.819 N
-1.522 3.720 2.046 N
1.231 0.481 3.000 N
0.763 -2.344 4.112 N
-0.233 -1.023 2.807 Mo
2.227 -0.840 4.305 Mo
1.230 0.091 0.749 Mo
1.371 1.710 4.921 Mo
```

- DOS(E_F) (states/eV/f.u.) = 1.66
- space-group type = Fddd, No. 70
- size of the total moment (μB/cell) = 0.0
- formation energy without anion corrections (eV/atom) = -0.16



Material: KLiSi
Method: DFT, PBE
State: relaxed

The structure in POSCAR format:
```
KLiSi
1.0
4.479 0.003 0.000
2.240 3.884 0.000
2.197 -1.071 11.164
Si K Li
2 2 2
Cartesian
5.557 0.873 10.044 Si
3.359 1.942 1.120 Si
5.598 0.647 3.351 K
3.317 2.169 7.813 K
3.315 -0.422 10.931 Li
5.600 3.237 0.233 Li
```

- DOS(E_F) (states/eV/f.u.) = 0.40
- energy above the most stable polymorph in this dataset (meV per atom) = 0.0
- space-group type = P-1, No. 2
- size of the total moment (μB/cell) = 0.0
- formation energy without anion corrections (eV/atom) = -0.09



Material: Pm8DyY2
Method: DFT, PBE
State: relaxed

The structure in POSCAR format:
```
Pm8DyY2
1.0
-0.998 1.653 4.755
-7.911 -1.327 -1.200
3.791 -8.745 1.066
Pm Y Dy
8 2 1
Cartesian
-0.545 -2.403 0.721 Pm
-1.635 -7.206 2.161 Pm
-5.460 -1.690 -0.559 Pm
0.342 -6.729 5.180 Pm
-6.501 -3.258 2.537 Pm
-4.574 -6.016 3.900 Pm
1.382 -5.161 2.084 Pm
-3.484 -1.213 2.460 Pm
-1.585 -3.984 3.821 Y
-3.533 -4.435 0.800 Y
-0.499 0.826 2.377 Dy
```

- energy of formation (eV per atom) = 0.02
- DOS(E_F) (states/eV/f.u.) = 16.44
- energy above the most stable polymorph in this dataset (meV per atom) = 0.0
- space-group type = C2/m, No. 12
- size of the total moment (μB/cell) = 0.0



Material: Ac2AsH2Cl
Method: DFT, PBE
State: relaxed

The structure in POSCAR format:
```
Ac2AsH2Cl
1.0
4.319 0.000 0.000
-2.160 3.740 0.000
0.000 0.000 8.156
Cl Ac As H
1 2 1 2
Cartesian
0.000 0.000 0.000 Cl
2.160 1.247 5.999 Ac
0.000 2.494 2.156 Ac
0.000 0.000 4.078 As
0.000 2.494 6.321 H
2.160 1.247 1.834 H
```

- space-group type = P-3m1, No. 164
- E_tot (eV per cell) = -29.16
- size of the total moment (μB/cell) = 0.0